DFT (PBE+U) results for LiNiBiO4 after structural relaxation.

Lattice parameters (Å, degrees): 6.125 6.254 6.254 63.14 60.68 60.68
Each line ends with the local moment (μB).
Element x y z (fractional)
1 Li 0.638 0.612 0.112  0.00
2 Li 0.362 0.388 0.888  0.00
3 Ni 0.500 0.000 0.500  1.76
4 Ni 0.000 0.000 0.500  1.76
5 Bi 0.000 0.000 0.000  0.00
6 Bi 0.000 0.500 0.500  0.00
7 O 0.761 0.767 0.711  0.07
8 O 0.239 0.789 0.733  0.07
9 O 0.761 0.211 0.267  0.07
10 O 0.239 0.233 0.289  0.07
11 O 0.232 0.756 0.256  0.03
12 O 0.755 0.756 0.256  0.03
13 O 0.245 0.244 0.744  0.03
14 O 0.768 0.244 0.744  0.03

V, Å³/cell: 175
Magnetic moment, μB/atom: 0.286
D(E_F), states/eV/cell: 0.4
Electronic total energy, eV/atom: -5.237